# PBE KMn4In, optimized geometry
data_KMn4In
_cell_length_a 7.764
_cell_length_b 7.764
_cell_length_c 7.764
_cell_angle_alpha 90.00
_cell_angle_beta 90.00
_cell_angle_gamma 90.00
_symmetry_space_group_name_H-M 'F -4 3 m'
_symmetry_Int_Tables_number 216
_symmetry_space_group_name_Hall 'F -4 2 3'
loop_
_atom_site_label
_atom_site_type_symbol
_atom_site_fract_x
_atom_site_fract_y
_atom_site_fract_z
_atom_site_occupancy
K1 K 0.000 0.000 0.000 1
Mn1 Mn 0.123 0.123 0.623 1
In1 In 0.250 0.250 0.250 1
# - DFT formation energy (eV per atom) = 0.7104
# - final energy (eV for the cell shown) = -145.0
# - crystal system = cubic
# - N(E_F) (states/eV per atom) = 0.95



# PBE InSi2P, optimized geometry
data_InSi2P
_cell_length_a 3.321
_cell_length_b 5.523
_cell_length_c 8.404
_cell_angle_alpha 90.00
_cell_angle_beta 90.00
_cell_angle_gamma 90.00
_symmetry_space_group_name_H-M 'C m m m'
_symmetry_Int_Tables_number 65
_symmetry_space_group_name_Hall '-C 2 2'
loop_
_atom_site_label
_atom_site_type_symbol
_atom_site_fract_x
_atom_site_fract_y
_atom_site_fract_z
_atom_site_occupancy
In1 In 0.000 0.000 0.000 1
Si1 Si 0.000 0.500 0.299 1
P1 P 0.000 0.000 0.500 1
# - final energy (eV for the cell shown) = -34.1
# - crystal system = orthorhombic
# - ΔE_f (raw) (eV per atom) = 0.492
# - N(E_F) (states/eV per atom) = 0.46



# PBE AuC2, optimized geometry
data_AuC2
_cell_length_a 2.629
_cell_length_b 2.629
_cell_length_c 36.500
_cell_angle_alpha 90.00
_cell_angle_beta 90.00
_cell_angle_gamma 90.00
_symmetry_space_group_name_H-M 'I 41/a m d'
_symmetry_Int_Tables_number 141
loop_
_symmetry_equiv_pos_as_xyz
'x,y,z'
'-x,-y,-z'
'-y+1/4,x+3/4,z+1/4'
'y+1/4,-x+3/4,-z+1/4'
'-x+1/2,-y,z+1/2'
'x+1/2,y,-z+1/2'
'y+1/4,-x+1/4,z+3/4'
'-y+1/4,x+1/4,-z+3/4'
'x,-y,-z'
'-x,y,z'
'-y+1/4,-x+1/4,-z+3/4'
'y+1/4,x+1/4,z+3/4'
'-x+1/2,y,-z+1/2'
'x+1/2,-y,z+1/2'
'y+1/4,x+3/4,-z+1/4'
'-y+1/4,-x+3/4,z+1/4'
'x+1/2,y+1/2,z+1/2'
'-x+1/2,-y+1/2,-z+1/2'
'-y+3/4,x+1/4,z+3/4'
'y+3/4,-x+1/4,-z+3/4'
'-x,-y+1/2,z'
'x,y+1/2,-z'
'y+3/4,-x+3/4,z+1/4'
'-y+3/4,x+3/4,-z+1/4'
'x+1/2,-y+1/2,-z+1/2'
'-x+1/2,y+1/2,z+1/2'
'-y+3/4,-x+3/4,-z+1/4'
'y+3/4,x+3/4,z+1/4'
'-x,y+1/2,-z'
'x,-y+1/2,z'
'y+3/4,x+1/4,-z+3/4'
'-y+3/4,-x+1/4,z+3/4'
loop_
_atom_site_label
_atom_site_type_symbol
_atom_site_fract_x
_atom_site_fract_y
_atom_site_fract_z
_atom_site_occupancy
Au1 Au 0.000 0.250 0.311 1
C1 C 0.000 0.250 0.008 1
C2 C 0.000 0.250 0.122 1
# - DFT formation energy (eV per atom) = 1.7638
# - final energy (eV for the cell shown) = -131.5
# - crystal system = tetragonal
# - N(E_F) (states/eV per atom) = 0.29



# PBE ZrPaPt3, optimized geometry
data_ZrPaPt3
_cell_length_a 5.372
_cell_length_b 14.529
_cell_length_c 5.291
_cell_angle_alpha 90.00
_cell_angle_beta 90.00
_cell_angle_gamma 90.00
_symmetry_space_group_name_H-M 'C m c m'
_symmetry_Int_Tables_number 63
_symmetry_space_group_name_Hall '-C 2c 2'
loop_
_atom_site_label
_atom_site_type_symbol
_atom_site_fract_x
_atom_site_fract_y
_atom_site_fract_z
_atom_site_occupancy
Zr1 Zr 0.000 0.031 0.250 1
Pa1 Pa 0.000 0.308 0.750 1
Pt1 Pt 0.000 0.500 0.000 1
Pt2 Pt 0.249 0.356 0.250 1
# - DFT formation energy (eV per atom) = -0.7715
# - final energy (eV for the cell shown) = -160.1
# - crystal system = orthorhombic
# - N(E_F) (states/eV per atom) = 0.80



# PBE BeCdAs2Pt, optimized geometry
data_BeCdAs2Pt
_cell_length_a 5.001
_cell_length_b 5.001
_cell_length_c 5.066
_cell_angle_alpha 90.00
_cell_angle_beta 90.00
_cell_angle_gamma 90.00
_symmetry_space_group_name_H-M 'P 4/m m m'
_symmetry_Int_Tables_number 123
_symmetry_space_group_name_Hall '-P 4 2'
loop_
_atom_site_label
_atom_site_type_symbol
_atom_site_fract_x
_atom_site_fract_y
_atom_site_fract_z
_atom_site_occupancy
Be1 Be 0.000 0.000 0.000 1
Cd1 Cd 0.500 0.500 0.500 1
As1 As 0.000 0.500 0.500 1
Pt1 Pt 0.500 0.500 0.000 1
# - DFT formation energy (eV per atom) = 1.4669
# - final energy (eV for the cell shown) = -12.6
# - crystal system = tetragonal
# - N(E_F) (states/eV per atom) = 0.86



# PBE MgMn2TlI8, optimized geometry
data_MgMn2TlI8
_cell_length_a 7.3833
_cell_length_b 7.3833
_cell_length_c 10.2022
_cell_angle_alpha 90.00
_cell_angle_beta 90.00
_cell_angle_gamma 120.00
_symmetry_space_group_name_H-M 'P -3'
_symmetry_Int_Tables_number 147
loop_
_symmetry_equiv_pos_as_xyz
'x,y,z'
'-x,-y,-z'
'-y,x-y,z'
'y,-x+y,-z'
'-x+y,-x,z'
'x-y,x,-z'
loop_
_atom_site_label
_atom_site_type_symbol
_atom_site_fract_x
_atom_site_fract_y
_atom_site_fract_z
_atom_site_occupancy
Mg1 Mg 0.0000 0.0000 0.0000 1
Mn1 Mn 0.3333 0.6667 0.2414 1
Tl1 Tl 0.0000 0.0000 0.5000 1
I1 I 0.0097 0.6865 0.8270 1
I2 I 0.3333 0.6667 0.4966 1
# - final energy (eV for the cell shown) = -40.9
# - crystal system = trigonal
# - ΔE_f (raw) (eV per atom) = -0.516
# - N(E_F) (states/eV per atom) = 0.79



Results for V: 19.5; 19.3; 10.5; 20.6; 25.3; 40.1 (in Å³ per atom, following the order of the records).